[1]
Here is a geometry-optimized Li2LaIn structure from Alexandria via LeMat-Bulk. Energies are from GGA-PBE.

The structure in CIF format:
```
data_Li2LaIn
_chemical_formula_sum 'Li4 La2 In2'
_cell_length_a 6.699
_cell_length_b 11.062
_cell_length_c 3.164
_cell_angle_alpha 90.00
_cell_angle_beta 115.70
_cell_angle_gamma 90.00
_space_group_name_H-M_alt 'C 1 2/m 1'
_space_group_IT_number 12
loop_
_space_group_symop_operation_xyz
'x,y,z'
'-x,-y,-z'
'-x,y,-z'
'x,-y,z'
'x+1/2,y+1/2,z'
'-x+1/2,-y+1/2,-z'
'-x+1/2,y+1/2,-z'
'x+1/2,-y+1/2,z'
loop_
_atom_site_label
_atom_site_fract_x
_atom_site_fract_y
_atom_site_fract_z
Li1 0.250 0.250 0.000
La1 0.000 0.000 0.500
In1 0.000 0.500 0.500
```

* V: 211.24 Å³/cell
* DFT formation energy: -0.028 eV/atom
* calculated total energy: -23.21 eV per cell

[2]
Here is a geometry-optimized Cs2SrLiCl5 structure from Alexandria via LeMat-Bulk. Energies are from GGA-PBE.

The structure in CIF format:
```
data_Cs2SrLiCl5
_chemical_formula_sum 'Cs8 Sr4 Li4 Cl20'
_cell_length_a 4.458
_cell_length_b 19.512
_cell_length_c 14.634
_cell_angle_alpha 90.00
_cell_angle_beta 90.00
_cell_angle_gamma 90.00
_space_group_name_H-M_alt 'C m c 21'
_space_group_IT_number 36
loop_
_space_group_symop_operation_xyz
'x,y,z'
'-x,-y,z+1/2'
'-x,y,z'
'x,-y,z+1/2'
'x+1/2,y+1/2,z'
'-x+1/2,-y+1/2,z+1/2'
'-x+1/2,y+1/2,z'
'x+1/2,-y+1/2,z+1/2'
loop_
_atom_site_label
_atom_site_fract_x
_atom_site_fract_y
_atom_site_fract_z
Cs1 0.000 0.106 0.000
Cs2 0.000 0.130 0.656
Sr1 0.000 0.194 0.349
Li1 0.000 0.446 0.751
Cl1 0.000 0.045 0.326
Cl2 0.000 0.299 0.980
Cl3 0.000 0.321 0.717
Cl4 0.000 0.339 0.333
Cl5 0.000 0.499 0.110
```

* ΔE_f (raw): -19.01 eV/f.u.
* V: 1272.85 Å³/cell
* calculated total energy: -134.17 eV per cell

Which of these has the highest V?
Cs2SrLiCl5